*w*
An optimized crystal structure of PmSm8Tl2. Source: Alexandria, functional PBE.

Summary:
Volume   363.4 Å³ per cell
Magnetization   0.0 μB per formula unit
Space group   C2/m (12)

The structure in CIF format:
```
data_PmSm8Tl2
_space_group_name_H-M_alt 'P 1'
_space_group_IT_number 1
_cell_length_a 5.831
_cell_length_b 8.927
_cell_length_c 8.927
_cell_angle_alpha 119.81
_cell_angle_beta 102.54
_cell_angle_gamma 102.54
loop_
_space_group_symop_operation_xyz
'x,y,z'
loop_
_atom_site_label
_atom_site_type_symbol
_atom_site_fract_x
_atom_site_fract_y
_atom_site_fract_z
_atom_site_occupancy
Tl1 Tl 0.000 0.306 0.694 1
Tl2 Tl 0.000 0.694 0.306 1
Sm1 Sm 0.500 0.781 0.219 1
Sm2 Sm 0.878 0.678 0.907 1
Sm3 Sm 0.122 0.322 0.093 1
Sm4 Sm 0.878 0.907 0.678 1
Sm5 Sm 0.122 0.093 0.322 1
Sm6 Sm 0.705 0.407 0.407 1
Sm7 Sm 0.295 0.593 0.593 1
Sm8 Sm 0.500 0.219 0.781 1
Pm1 Pm 0.500 0.000 0.000 1
```

*x*
An optimized crystal structure of PmSm8Tl2. Source: Alexandria, functional PBE.

Summary:
Volume   353.8 Å³ per cell
Magnetization   0.0 μB per formula unit
Space group   C2/m (12)

The structure in CIF format:
```
data_PmSm8Tl2
_space_group_name_H-M_alt 'P 1'
_space_group_IT_number 1
_cell_length_a 5.224
_cell_length_b 8.375
_cell_length_c 9.094
_cell_angle_alpha 110.87
_cell_angle_beta 106.69
_cell_angle_gamma 90.00
loop_
_space_group_symop_operation_xyz
'x,y,z'
loop_
_atom_site_label
_atom_site_type_symbol
_atom_site_fract_x
_atom_site_fract_y
_atom_site_fract_z
_atom_site_occupancy
Sm1 Sm 0.686 0.948 0.372 1
Sm2 Sm 0.948 0.263 0.896 1
Sm3 Sm 0.314 0.052 0.628 1
Sm4 Sm 0.400 0.535 0.799 1
Sm5 Sm 0.052 0.737 0.104 1
Sm6 Sm 0.600 0.465 0.201 1
Sm7 Sm 0.853 0.793 0.706 1
Sm8 Sm 0.147 0.207 0.294 1
Tl1 Tl 0.222 0.641 0.444 1
Tl2 Tl 0.778 0.359 0.556 1
Pm1 Pm 0.500 0.000 0.000 1
```

Stability, lowest: *w*

*w*
An optimized crystal structure of Pm3Sm2Tl. Source: Alexandria, functional PBE.

Summary:
Volume   191.3 Å³ per cell
Magnetization   0.0 μB per formula unit
Space group   Cmmm (65)

The structure in CIF format:
```
data_Pm3Sm2Tl
_space_group_name_H-M_alt 'P 1'
_space_group_IT_number 1
_cell_length_a 4.967
_cell_length_b 4.963
_cell_length_c 8.146
_cell_angle_alpha 107.74
_cell_angle_beta 90.00
_cell_angle_gamma 90.00
loop_
_space_group_symop_operation_xyz
'x,y,z'
loop_
_atom_site_label
_atom_site_type_symbol
_atom_site_fract_x
_atom_site_fract_y
_atom_site_fract_z
_atom_site_occupancy
Sm1 Sm 0.000 0.662 0.325 1
Sm2 Sm 0.000 0.338 0.675 1
Pm1 Pm 0.500 0.166 0.333 1
Pm2 Pm 0.500 0.500 0.000 1
Pm3 Pm 0.500 0.834 0.667 1
Tl1 Tl 0.000 0.000 0.000 1
```

*x*
An optimized crystal structure of Pm3Sm2Tl. Source: Alexandria, functional PBE.

Summary:
Volume   396.6 Å³ per cell
Magnetization   0.0 μB per formula unit
Space group   Cmcm (63)

The structure in CIF format:
```
data_Pm3Sm2Tl
_space_group_name_H-M_alt 'P 1'
_space_group_IT_number 1
_cell_length_a 6.369
_cell_length_b 7.053
_cell_length_c 9.387
_cell_angle_alpha 90.00
_cell_angle_beta 109.84
_cell_angle_gamma 90.00
loop_
_space_group_symop_operation_xyz
'x,y,z'
loop_
_atom_site_label
_atom_site_type_symbol
_atom_site_fract_x
_atom_site_fract_y
_atom_site_fract_z
_atom_site_occupancy
Pm1 Pm 0.678 0.250 0.000 1
Pm2 Pm 0.141 0.000 0.282 1
Pm3 Pm 0.859 0.500 0.718 1
Pm4 Pm 0.141 0.500 0.282 1
Pm5 Pm 0.859 0.000 0.718 1
Pm6 Pm 0.322 0.750 0.000 1
Sm1 Sm 0.697 0.750 0.365 1
Sm2 Sm 0.303 0.250 0.635 1
Sm3 Sm 0.668 0.250 0.365 1
Sm4 Sm 0.332 0.750 0.635 1
Tl1 Tl 0.807 0.750 0.000 1
Tl2 Tl 0.193 0.250 0.000 1
```

Stability, lowest: *x*

*w*
An optimized crystal structure of Pm2Sm3Tl. Source: Alexandria, functional PBE.

Summary:
Volume   190.6 Å³ per cell
Magnetization   0.0 μB per formula unit
Space group   Cmmm (65)

The structure in CIF format:
```
data_Pm2Sm3Tl
_space_group_name_H-M_alt 'P 1'
_space_group_IT_number 1
_cell_length_a 4.971
_cell_length_b 4.947
_cell_length_c 8.137
_cell_angle_alpha 107.70
_cell_angle_beta 90.00
_cell_angle_gamma 90.00
loop_
_space_group_symop_operation_xyz
'x,y,z'
loop_
_atom_site_label
_atom_site_type_symbol
_atom_site_fract_x
_atom_site_fract_y
_atom_site_fract_z
_atom_site_occupancy
Sm1 Sm 0.500 0.166 0.331 1
Sm2 Sm 0.500 0.500 0.000 1
Sm3 Sm 0.500 0.834 0.669 1
Tl1 Tl 0.000 0.000 0.000 1
Pm1 Pm 0.000 0.662 0.325 1
Pm2 Pm 0.000 0.338 0.675 1
```

*x*
An optimized crystal structure of Pm2Sm3Tl. Source: Alexandria, functional PBE.

Summary:
Volume   388.9 Å³ per cell
Magnetization   0.0 μB per formula unit
Space group   Imma (74)

The structure in CIF format:
```
data_Pm2Sm3Tl
_space_group_name_H-M_alt 'P 1'
_space_group_IT_number 1
_cell_length_a 5.250
_cell_length_b 9.577
_cell_length_c 9.577
_cell_angle_alpha 112.03
_cell_angle_beta 105.92
_cell_angle_gamma 105.92
loop_
_space_group_symop_operation_xyz
'x,y,z'
loop_
_atom_site_label
_atom_site_type_symbol
_atom_site_fract_x
_atom_site_fract_y
_atom_site_fract_z
_atom_site_occupancy
Tl1 Tl 0.250 0.603 0.397 1
Tl2 Tl 0.750 0.397 0.603 1
Sm1 Sm 0.963 0.792 0.634 1
Sm2 Sm 0.537 0.366 0.208 1
Sm3 Sm 0.037 0.208 0.366 1
Sm4 Sm 0.463 0.634 0.792 1
Sm5 Sm 0.000 0.500 0.000 1
Sm6 Sm 0.500 0.000 0.500 1
Pm1 Pm 0.750 0.073 0.927 1
Pm2 Pm 0.250 0.224 0.776 1
Pm3 Pm 0.250 0.927 0.073 1
Pm4 Pm 0.750 0.776 0.224 1
```

Stability, lowest: *x*